--- w ---
Below is TiCr2Pb2 after structural relaxation, with properties calculated at the PBE-GGA level.

Unit cell a=4.9952 b=4.9952 c=7.9885 alpha=90.00 beta=90.00 gamma=90.00
With the nearest neighbours (Å) after each atom.
Space group I4/mmm (No. 139)
One atom of each set of equivalent atoms:
Ti1 0.0000 0.0000 0.0000 [2 per cell]  2 Cr 3.07, 8 Pb 3.20
Cr1 0.0000 0.0000 0.3848 [4 per cell]  1 Cr 1.84
Pb1 0.0000 0.5000 0.2500 [4 per cell]  4 Cr 2.72

- size of the total moment (Bohr magnetons per cell) = 1.491
- D(E_F) (states/eV/f.u.) = 5.2

--- x ---
Below is TiCr2Pb2 after structural relaxation, with properties calculated at the PBE-GGA level.

Unit cell a=7.5741 b=7.5741 c=3.2413 alpha=90.00 beta=90.00 gamma=90.00
With the nearest neighbours (Å) after each atom.
Space group P4/mbm (No. 127)
One atom of each set of equivalent atoms:
Ti1 0.0000 0.0000 0.0000 [2 per cell]  4 Cr 3.14, 8 Pb 3.19, 2 Ti 3.24
Cr1 0.0977 0.4023 0.0000 [4 per cell]  1 Cr 2.09
Pb1 0.1911 0.6911 0.5000 [4 per cell]  6 Cr 2.78-2.81

- size of the total moment (Bohr magnetons per cell) = 0.000
- D(E_F) (states/eV/f.u.) = 5.4

Stability ranking, top and bottom: x is the most stable and w is the least stable.